First-principles (GGA-PBEsol) data for a relaxed Hf2CuSi2 crystal, as listed in Alexandria via LeMat-Bulk.

Structure (POSCAR):
```
Hf2CuSi2
1.0
3.9224 0.0000 0.0000
0.0000 6.3338 0.0000
0.0000 0.0000 6.3338
Si Hf Cu
4 4 2
direct
0.0000 0.3704 0.8704
0.0000 0.8704 0.6296
0.0000 0.1296 0.3704
0.0000 0.6296 0.1296
0.5000 0.3237 0.1763
0.5000 0.1763 0.6763
0.5000 0.8237 0.3237
0.5000 0.6763 0.8237
0.0000 0.5000 0.5000
0.0000 0.0000 0.0000
```

Values from the calculation:
total magnetic moment	0.00	μB per cell
final energy	-8.027	eV/atom
SG	No. 127
DOS(E_F)	3.1	states/eV/cell
energy relative to the elements, uncorrected	-63.71	kJ/mol of atoms